No. 1
PBE-GGA GaMo2C, relaxed; D(E_F) = 2.68 states/eV per cell; total magnetic moment = 0.000 μB/atom; E above lowest polymorph = 14.3 kJ per mole of atoms; space group = No. 2; formation energy = 0.09 eV per formula unit; V = 14.06 A^3/atom
1.0
3.070 0.000 0.000
0.278 5.531 0.000
0.043 1.608 6.627
Ga Mo C
2 4 2
direct
0.004 0.066 0.199
0.996 0.934 0.801
0.006 0.426 0.817
0.481 0.760 0.506
0.519 0.240 0.494
0.994 0.574 0.183
0.000 0.500 0.500
0.500 0.500 0.000

---

No. 2
PBE-GGA RbTlPb, relaxed; D(E_F) = 4.84 states/eV per cell; total magnetic moment = 0.000 μB/atom; space group = No. 62; formation energy = -0.23 eV per formula unit; V = 38.92 A^3/atom
1.0
8.017 0.000 0.000
0.000 5.138 0.000
0.000 0.000 11.338
Rb Tl Pb
4 4 4
direct
0.124 0.250 0.092
0.376 0.750 0.592
0.624 0.250 0.408
0.876 0.750 0.908
0.072 0.250 0.719
0.428 0.750 0.219
0.572 0.250 0.781
0.928 0.750 0.281
0.104 0.250 0.437
0.396 0.750 0.937
0.604 0.250 0.063
0.896 0.750 0.563

---

No. 3
PBE-GGA AcAl2BOs2, relaxed; D(E_F) = 2.47 states/eV per cell; total magnetic moment = 0.000 μB/atom; space group = No. 123; formation energy = -2.88 eV per formula unit; V = 17.65 A^3/atom
1.0
4.272 0.000 0.000
0.000 4.272 0.000
0.000 0.000 5.801
Ac Al B Os
1 2 1 2
direct
0.000 0.000 0.000
0.500 0.500 0.248
0.500 0.500 0.752
0.000 0.000 0.500
0.000 0.500 0.500
0.500 0.000 0.500

---

What did the second record say?
PBE-GGA RbTlPb, relaxed; D(E_F) = 4.84 states/eV per cell; total magnetic moment = 0.000 μB/atom; space group = No. 62; formation energy = -0.23 eV per formula unit; V = 38.92 A^3/atom
1.0
8.017 0.000 0.000
0.000 5.138 0.000
0.000 0.000 11.338
Rb Tl Pb
4 4 4
direct
0.124 0.250 0.092
0.376 0.750 0.592
0.624 0.250 0.408
0.876 0.750 0.908
0.072 0.250 0.719
0.428 0.750 0.219
0.572 0.250 0.781
0.928 0.750 0.281
0.104 0.250 0.437
0.396 0.750 0.937
0.604 0.250 0.063
0.896 0.750 0.563